# PBE-GGA Tb2GdSc, optimized geometry
# energy relative to the lowest polymorph listed for this composition: 3 meV/atom
# formation enthalpy at 0 K: 0.04 eV/atom
# spin magnetization: 7.2 μB/cell
data_Tb2GdSc
_space_group_name_H-M_alt 'P 4/m m m'
_space_group_IT_number 123
_space_group_name_Hall '-P 4 2'
_cell_length_a 3.5082
_cell_length_b 3.5082
_cell_length_c 9.7746
_cell_angle_alpha 90.00
_cell_angle_beta 90.00
_cell_angle_gamma 90.00
loop_
_atom_site_label
_atom_site_type_symbol
_atom_site_fract_x
_atom_site_fract_y
_atom_site_fract_z
Tb1 Tb 0.0000 0.0000 0.2368
Gd1 Gd 0.5000 0.5000 0.5000
Sc1 Sc 0.5000 0.5000 0.0000

---

# PBE-GGA CuHg2W, optimized geometry
# energy relative to the lowest polymorph listed for this composition: 90 meV/atom
# formation enthalpy at 0 K: 0.60 eV/atom
# spin magnetization: 0.0 μB/cell
data_CuHg2W
_space_group_name_H-M_alt 'R -3 m'
_space_group_IT_number 166
_space_group_name_Hall '-R 3 2"'
_cell_length_a 2.9635
_cell_length_b 2.9635
_cell_length_c 27.9889
_cell_angle_alpha 90.00
_cell_angle_beta 90.00
_cell_angle_gamma 120.00
loop_
_atom_site_label
_atom_site_type_symbol
_atom_site_fract_x
_atom_site_fract_y
_atom_site_fract_z
Cu1 Cu 0.0000 0.0000 0.0000
Hg1 Hg 0.0000 0.0000 0.2539
W1 W 0.0000 0.0000 0.5000